Material: SmYSn
Method: DFT, PBE
State: optimized geometry

## Properties
As for the total energy: -16.3 eV for the cell shown. The calculated density comes out at 6.61 g/cm3.

a = 3.9435 Å, b = 5.1327 Å, c = 5.1327 Å
α = 120.00°, β = 90.00°, γ = 90.00°
Closest atoms and distances in Å follow each position.
Sites, in units of the cell vectors:
Sn 0.3630 0.6667 0.3333  3 Y 3.10, 3 Sm 3.22
Y 0.5943 0.3333 0.6667  3 Sn 3.10, 3 Sm 3.45
Sm 0.0427 0.0000 0.0000  3 Sn 3.22, 3 Y 3.45

=====

Material: NbCoRu2S
Method: DFT, PBE
State: optimized geometry

## Properties
The formation energy without anion corrections comes out at 1.47 eV/atom. The calculated density comes out at 6.10 g/cm3.

a = 4.7429 Å, b = 4.6729 Å, c = 4.7429 Å
α = 90.00°, β = 90.00°, γ = 90.00°
Closest atoms and distances in Å follow each position.
Sites, in units of the cell vectors:
S 0.0000 0.5000 0.0000  2 Nb 2.34
Nb 0.0000 0.0000 0.0000  2 S 2.34, 4 Ru 2.37
Co 0.5000 0.5000 0.5000  8 Ru 3.33, 4 S 3.35
Ru 0.0000 0.0000 0.5000  2 Nb 2.37
Ru 0.5000 0.0000 0.0000  2 Nb 2.37